[1]
The following is a PBE calculation of a relaxed structure of Pr4InHg, from the Alexandria database.

POSCAR file:
```
Pr4InHg
1.0
-3.718 -0.833 -0.511
2.085 -4.818 -7.314
0.618 -4.801 3.336
Pr In Hg
4 1 1
Cartesian
0.244 -8.647 -2.135 Pr
-1.259 -1.804 -2.354 Pr
0.740 -3.400 0.157 Pr
1.962 -6.218 -4.135 Pr
-0.508 -5.226 -2.245 In
0.000 0.000 0.000 Hg
```

E above lowest polymorph (eV per atom): 0.003
Final energy (eV per atom): -3.799
Energy relative to the elements (eV per formula unit): -0.63


[2]
The following is a PBE calculation of a relaxed structure of Pr3InHg12, from the Alexandria database.

POSCAR file:
```
Pr3InHg12
1.0
-1.948 1.823 3.955
-4.318 -1.369 -1.496
2.167 -16.125 8.499
Pr In Hg
3 1 12
Cartesian
0.520 -3.866 2.038 Pr
1.083 -8.063 4.250 Pr
1.647 -12.259 6.461 Pr
0.000 0.000 0.000 In
-3.133 0.227 1.230 Hg
-2.588 -3.826 3.366 Hg
-2.050 -7.836 5.479 Hg
-1.511 -11.845 7.593 Hg
-0.714 -1.026 2.998 Hg
-0.165 -5.110 5.151 Hg
0.384 -9.192 7.303 Hg
0.933 -13.277 9.456 Hg
-1.899 -2.621 0.273 Hg
-1.350 -6.706 2.426 Hg
-0.801 -10.788 4.577 Hg
-0.252 -14.872 6.730 Hg
```

Final energy (eV per atom): -1.574
Energy relative to the elements (eV per formula unit): -4.49


[3]
The following is a PBE calculation of a relaxed structure of Pr2In4Hg, from the Alexandria database.

POSCAR file:
```
Pr2In4Hg
1.0
-5.595 -0.170 -2.510
4.977 -1.411 -3.298
-0.361 -5.438 3.725
Pr Hg In
2 1 4
Cartesian
-0.475 -2.442 -2.527 Pr
-0.505 -4.577 0.445 Pr
0.000 0.000 0.000 Hg
-3.485 -3.158 -0.818 In
2.506 -3.861 -1.264 In
-2.798 -0.085 -1.255 In
2.488 -0.706 -1.649 In
```

Final energy (eV per atom): -3.188
Energy relative to the elements (eV per formula unit): -1.50


[4]
The following is a PBE calculation of a relaxed structure of Pr8InHg2, from the Alexandria database.

POSCAR file:
```
Pr8InHg2
1.0
-3.054 4.588 0.553
-4.213 -3.638 6.918
8.574 2.263 0.844
Pr In Hg
8 1 2
Cartesian
-2.100 1.513 3.592 Pr
4.301 2.739 1.031 Pr
1.142 0.561 1.651 Pr
-2.056 -1.989 5.152 Pr
0.165 2.651 6.664 Pr
-2.994 0.473 7.283 Pr
3.406 1.699 4.722 Pr
3.363 5.202 3.163 Pr
-1.527 2.294 0.276 In
0.573 -0.194 4.779 Hg
0.734 3.407 3.536 Hg
```

E above lowest polymorph (eV per atom): 0.000
Final energy (eV per atom): -4.029
Energy relative to the elements (eV per formula unit): -2.74


[5]
The following is a PBE calculation of a relaxed structure of PrIn7Hg12, from the Alexandria database.

POSCAR file:
```
PrIn7Hg12
1.0
8.350 -0.220 -1.945
-2.402 8.000 -1.945
-0.168 -0.220 8.572
Pr In Hg
1 7 12
Cartesian
0.000 0.000 0.000 Pr
3.084 0.779 1.038 In
4.777 4.380 4.953 In
5.463 5.758 1.880 In
2.890 3.780 2.341 In
0.318 1.803 2.801 In
1.004 3.181 -0.271 In
2.696 6.781 3.643 In
5.796 0.670 -0.118 Hg
6.077 1.792 5.511 Hg
6.123 2.719 2.422 Hg
3.200 0.939 4.189 Hg
5.419 6.334 -1.012 Hg
4.111 3.334 -0.805 Hg
1.669 4.227 5.486 Hg
0.361 1.226 5.694 Hg
2.581 6.622 0.493 Hg
-0.343 4.842 2.260 Hg
-0.297 5.769 -0.829 Hg
-0.015 6.891 4.800 Hg
```

Final energy (eV per atom): -1.421
Energy relative to the elements (eV per formula unit): -0.85


[6]
The following is a PBE calculation of a relaxed structure of Pr7In2Hg2, from the Alexandria database.

POSCAR file:
```
Pr7In2Hg2
1.0
6.957 -0.003 -0.965
0.003 8.108 0.004
-1.397 -0.002 6.884
Pr In Hg
7 2 2
Cartesian
6.258 2.330 2.480 Pr
2.086 5.770 6.402 Pr
-0.695 5.773 3.442 Pr
3.477 2.333 -0.480 Pr
0.000 0.000 0.000 Pr
2.784 6.009 2.960 Pr
2.779 2.094 2.962 Pr
4.595 4.050 4.891 In
0.968 4.053 1.031 In
4.571 8.105 1.283 Hg
0.992 -0.002 4.639 Hg
```

Final energy (eV per atom): -3.714
Energy relative to the elements (eV per formula unit): -1.32


[7]
The following is a PBE calculation of a relaxed structure of PrIn6Hg12, from the Alexandria database.

POSCAR file:
```
PrIn6Hg12
1.0
-5.458 -5.375 -2.437
5.757 -3.477 -4.403
1.880 -4.449 6.426
Pr In Hg
1 6 12
Cartesian
0.000 0.000 0.000 Pr
0.775 -5.073 3.310 In
-1.614 -8.883 1.425 In
4.311 -7.915 1.521 In
1.404 -8.228 -3.723 In
3.793 -4.418 -1.838 In
-2.131 -5.386 -1.934 In
-0.995 -5.798 0.921 Hg
2.779 -5.181 0.947 Hg
0.898 -5.386 -2.377 Hg
3.175 -7.502 -1.334 Hg
-0.600 -8.120 -1.360 Hg
1.282 -7.915 1.963 Hg
0.795 -10.833 -2.046 Hg
-1.520 -2.890 -0.099 Hg
1.400 -2.359 -1.773 Hg
1.384 -2.468 1.633 Hg
3.700 -10.411 -0.314 Hg
0.779 -10.941 1.360 Hg
```

E above lowest polymorph (eV per atom): 0.025
Final energy (eV per atom): -1.355
Energy relative to the elements (eV per formula unit): -0.91


[8]
The following is a PBE calculation of a relaxed structure of Pr12In2Hg5, from the Alexandria database.

POSCAR file:
```
Pr12In2Hg5
1.0
-3.290 10.207 -1.144
-4.277 -6.745 2.955
0.804 1.210 8.483
Pr In Hg
12 2 5
Cartesian
-6.219 3.987 2.618 Pr
-5.423 6.773 7.690 Pr
-4.291 3.260 8.084 Pr
-3.615 -3.116 5.521 Pr
-5.099 1.488 5.005 Pr
-4.006 -0.368 8.229 Pr
-2.757 5.041 2.064 Pr
-3.148 7.789 4.772 Pr
-1.664 3.185 5.288 Pr
-1.340 -2.101 2.604 Pr
-2.472 1.412 2.210 Pr
-0.544 0.685 7.675 Pr
-2.381 7.386 -0.828 In
-0.909 2.821 -0.316 In
-2.365 -0.170 5.287 Hg
-4.351 -1.070 2.960 Hg
0.402 0.605 4.241 Hg
-2.412 5.743 7.334 Hg
-4.398 4.842 5.007 Hg
```

Final energy (eV per atom): -3.650
Energy relative to the elements (eV per formula unit): -5.01


[9]
The following is a PBE calculation of a relaxed structure of Pr6InHg, from the Alexandria database.

POSCAR file:
```
Pr6InHg
1.0
-8.092 1.201 4.220
-1.172 -2.317 8.468
-2.076 3.086 5.180
Pr In Hg
6 1 1
Cartesian
-2.294 1.345 7.957 Pr
-8.740 0.908 15.224 Pr
-5.064 0.656 5.371 Pr
-2.599 1.062 2.644 Pr
-9.046 0.625 9.911 Pr
-6.276 1.314 12.497 Pr
-5.670 0.985 8.934 In
0.000 0.000 0.000 Hg
```

E above lowest polymorph (eV per atom): 0.046
Final energy (eV per atom): -4.147
Energy relative to the elements (eV per formula unit): -1.46


[10]
The following is a PBE calculation of a relaxed structure of PrIn3Hg2, from the Alexandria database.

POSCAR file:
```
PrIn3Hg2
1.0
-1.030 4.547 -1.246
-6.051 -2.518 -4.187
-4.297 -1.371 7.891
Pr In Hg
2 6 4
Cartesian
-3.200 -0.437 1.050 Pr
-8.177 1.095 1.408 Pr
-8.146 0.134 -2.125 In
-5.792 -2.060 -2.729 In
-6.097 -0.357 3.734 In
-5.280 1.015 -1.276 In
-5.585 2.718 5.187 In
-3.232 0.524 4.583 In
-9.076 -1.051 3.664 Hg
-2.301 1.709 -1.206 Hg
-6.289 -1.337 0.318 Hg
-5.089 1.995 2.140 Hg
```

E above lowest polymorph (eV per atom): 0.016
Final energy (eV per atom): -2.490
Energy relative to the elements (eV per formula unit): -1.34


[11]
The following is a PBE calculation of a relaxed structure of Pr3InHg3, from the Alexandria database.

POSCAR file:
```
Pr3InHg3
1.0
-0.202 -6.474 -3.385
3.602 2.883 -5.668
6.778 -1.965 3.236
Pr In Hg
6 2 6
Cartesian
5.351 -1.748 1.753 Pr
1.800 -3.184 -1.006 Pr
3.265 0.420 -1.885 Pr
8.378 -2.372 -4.811 Pr
6.913 -5.977 -3.932 Pr
4.826 -3.809 -7.570 Pr
7.539 -3.125 -0.247 In
2.639 -2.432 -5.570 In
4.920 -2.334 -1.368 Hg
6.070 -0.365 -3.498 Hg
4.108 -5.192 -2.319 Hg
9.459 -1.347 -1.880 Hg
0.719 -4.210 -3.937 Hg
5.257 -3.223 -4.449 Hg
```

E above lowest polymorph (eV per atom): 0.010
Final energy (eV per atom): -2.926
Energy relative to the elements (eV per formula unit): -2.50


[12]
The following is a PBE calculation of a relaxed structure of Pr2In3Hg4, from the Alexandria database.

POSCAR file:
```
Pr2In3Hg4
1.0
-1.256 5.857 2.353
-3.399 2.390 -7.762
-6.902 -5.544 1.315
Pr In Hg
4 6 8
Cartesian
-3.681 0.793 -3.938 Pr
-7.876 1.910 -0.156 Pr
-6.094 -1.830 1.304 Pr
-5.463 4.534 -5.398 Pr
0.000 0.000 0.000 In
-2.327 4.124 -2.704 In
-7.085 1.790 -3.836 In
-5.099 3.842 0.919 In
-4.471 0.913 -0.257 In
-6.457 -1.138 -5.012 In
-9.696 0.884 -2.972 Hg
-2.489 4.748 0.055 Hg
-1.861 1.820 -1.121 Hg
-9.068 -2.045 -4.149 Hg
-5.911 1.366 -6.554 Hg
-5.645 1.337 2.461 Hg
-6.429 -0.599 -1.939 Hg
-5.128 3.302 -2.154 Hg
```

E above lowest polymorph (eV per atom): 0.052
Final energy (eV per atom): -2.401
Energy relative to the elements (eV per formula unit): -2.63